1.
KU2AgTe5: relaxed, GGA-PBE.

For the total magnetic moment, the calculation gives 4.01 μB/f.u.

The structure belongs to space group I4/mcm (No. 140); the cell edges are 8.334, 8.334 and 16.672 Å and the angles 90.00°, 90.00° and 90.00°. The inequivalent atoms are K at (0.000, 0.000, 0.250), U at (0.150, 0.350, 0.000), Ag at (0.000, 0.500, 0.250), Te at (0.000, 0.000, 0.000) and Te at (0.152, 0.348, 0.379).

=====

2.
K2UAg2Te4: relaxed, GGA-PBE.

For the total magnetic moment, the calculation gives 2.00 μB/f.u.

The structure belongs to space group C2/m (No. 12); the cell edges are 16.313, 4.508 and 8.489 Å and the angles 90.00°, 109.90° and 90.00°. The inequivalent atoms are K at (0.135, 0.000, 0.078), U at (0.000, 0.000, 0.500), Ag at (0.182, 0.500, 0.486), Te at (0.010, 0.500, 0.256) and Te at (0.196, 0.000, 0.702).

=====

3.
K2UAgTe4: relaxed, GGA-PBE.

For the total magnetic moment, the calculation gives 0.96 μB/f.u.

The structure belongs to space group I-42m (No. 121); the cell edges are 8.539, 8.539 and 7.481 Å and the angles 90.00°, 90.00° and 90.00°. The inequivalent atoms are K at (0.000, 0.500, 0.000), U at (0.000, 0.000, 0.000), Ag at (0.000, 0.000, 0.500) and Te at (0.182, 0.182, 0.744).

=====

4.
K3U3AgTe8: relaxed, GGA-PBE.

For the total magnetic moment, the calculation gives 5.98 μB/f.u.

The structure belongs to space group C2/m (No. 12); the cell edges are 15.301, 8.842 and 9.784 Å and the angles 90.00°, 121.40° and 90.00°. The inequivalent atoms are K at (0.000, 0.000, 0.000), K at (0.250, 0.250, 0.000), U at (0.000, 0.500, 0.500), U at (0.250, 0.250, 0.500), Ag at (0.000, 0.000, 0.500), Te at (0.017, 0.257, 0.295), Te at (0.237, 0.500, 0.712) and Te at (0.239, 0.000, 0.705).

=====

5.
KU4Ag3Te12: relaxed, GGA-PBE.

For the total magnetic moment, the calculation gives 3.87 μB/f.u.

The structure belongs to space group Im-3 (No. 204); the cell edges are 11.149, 11.149 and 11.149 Å and the angles 90.00°, 90.00° and 90.00°. The inequivalent atoms are K at (0.000, 0.000, 0.000), U at (0.250, 0.250, 0.250), Ag at (0.000, 0.000, 0.500) and Te at (0.000, 0.176, 0.310).

=====

6.
KU2Ag2Te6: relaxed, GGA-PBE.

For the total magnetic moment, the calculation gives 3.00 μB/f.u.

The structure belongs to space group P-1 (No. 2); the cell edges are 7.918, 7.962 and 8.185 Å and the angles 65.87°, 66.88° and 61.57°. The inequivalent atoms are K at (0.000, 0.000, 0.000), U at (0.338, 0.332, 0.991), Ag at (0.305, 0.562, 0.434), Te at (0.051, 0.455, 0.763), Te at (0.318, 0.936, 0.240) and Te at (0.426, 0.706, 0.767).

=====

7.
K2UAgTe5: relaxed, GGA-PBE.

For the total magnetic moment, the calculation gives 0.32 μB/f.u.

The structure belongs to space group Cmc2_1 (No. 36); the cell edges are 4.384, 21.452 and 14.057 Å and the angles 90.00°, 90.00° and 90.00°. The inequivalent atoms are K at (0.000, 0.116, 0.000), K at (0.000, 0.122, 0.650), U at (0.000, 0.190, 0.323), Ag at (0.000, 0.431, 0.723), Te at (0.000, 0.052, 0.344), Te at (0.000, 0.302, 0.676), Te at (0.000, 0.311, 0.965), Te at (0.000, 0.323, 0.328) and Te at (0.000, 0.494, 0.067).

=====

8.
K2U2AgTe6: relaxed, GGA-PBE.

For the total magnetic moment, the calculation gives 3.00 μB/f.u.

The structure belongs to space group C2/m (No. 12); the cell edges are 7.581, 13.180 and 8.752 Å and the angles 90.00°, 106.21° and 90.00°. The inequivalent atoms are K at (0.000, 0.163, 0.000), U at (0.000, 0.333, 0.500), Ag at (0.000, 0.000, 0.500), Te at (0.219, 0.500, 0.706) and Te at (0.237, 0.170, 0.704).

=====

9.
KUAgTe4: relaxed, GGA-PBE.

For the total magnetic moment, the calculation gives 1.21 μB/f.u.

The structure belongs to space group P2_1/m (No. 11); the cell edges are 7.803, 6.254 and 10.160 Å and the angles 90.00°, 111.12° and 90.00°. The inequivalent atoms are K at (0.232, 0.250, 0.055), U at (0.277, 0.250, 0.560), Ag at (0.259, 0.750, 0.303), Te at (0.038, 0.510, 0.700), Te at (0.441, 0.750, 0.592) and Te at (0.464, 0.750, 0.140).

=====

10.
K3UAg2Te6: relaxed, GGA-PBE.

For the total magnetic moment, the calculation gives 0.08 μB/f.u.

The structure belongs to space group P-3m1 (No. 164); the cell edges are 8.5696, 8.5696 and 9.1532 Å and the angles 90.00°, 90.00° and 120.00°. The inequivalent atoms are K at (0.0000, 0.0000, 0.0000), K at (0.3333, 0.6667, 0.6488), U at (0.0000, 0.0000, 0.5000), Ag at (0.3333, 0.6667, 0.2854) and Te at (0.1531, 0.3062, 0.2993).

=====

11.
KUAg2Te4: relaxed, GGA-PBE.

For the total magnetic moment, the calculation gives 1.50 μB/f.u.

The structure belongs to space group I222 (No. 23); the cell edges are 7.305, 8.284 and 8.769 Å and the angles 90.00°, 90.00° and 90.00°. The inequivalent atoms are K at (0.000, 0.000, 0.000), U at (0.000, 0.000, 0.500), Ag at (0.000, 0.500, 0.164) and Te at (0.219, 0.222, 0.310).

=====

12.
KU2AgTe4: relaxed, GGA-PBE.

For the total magnetic moment, the calculation gives 6.00 μB/f.u.

The structure belongs to space group Cmcm (No. 63); the cell edges are 4.481, 15.066 and 15.782 Å and the angles 90.00°, 90.00° and 90.00°. The inequivalent atoms are K at (0.000, 0.123, 0.250), U at (0.000, 0.369, 0.066), Ag at (0.000, 0.158, 0.750), Te at (0.000, 0.000, 0.000), Te at (0.000, 0.270, 0.608) and Te at (0.000, 0.450, 0.250).

=====

13.
K2YAg2Te4: relaxed, GGA-PBE.

For the total magnetic moment, the calculation gives 0.00 μB/f.u.

The structure belongs to space group C2/m (No. 12); the cell edges are 16.334, 4.381 and 8.646 Å and the angles 90.00°, 109.28° and 90.00°. The inequivalent atoms are K at (0.131, 0.000, 0.069), Y at (0.000, 0.000, 0.500), Ag at (0.181, 0.500, 0.482), Te at (0.011, 0.500, 0.255) and Te at (0.198, 0.000, 0.701).

=====

14.
KYAgTe2: relaxed, GGA-PBE.

For the total magnetic moment, the calculation gives 0.00 μB/f.u.

The structure belongs to space group P2/c (No. 13); the cell edges are 8.246, 4.889 and 8.652 Å and the angles 90.00°, 95.38° and 90.00°. The inequivalent atoms are K at (0.000, 0.087, 0.250), Y at (0.500, 0.497, 0.750), Ag at (0.500, 0.000, 0.000) and Te at (0.247, 0.392, 0.978).

=====

15.
KYAgTe3: relaxed, GGA-PBE.

For the total magnetic moment, the calculation gives 0.00 μB/f.u.

The structure belongs to space group Cmcm (No. 63); the cell edges are 4.305, 16.564 and 11.337 Å and the angles 90.00°, 90.00° and 90.00°. The inequivalent atoms are K at (0.000, 0.242, 0.250), Y at (0.000, 0.000, 0.000), Ag at (0.000, 0.470, 0.750), Te at (0.000, 0.080, 0.750) and Te at (0.000, 0.371, 0.552).

=====

16.
K2ZrAgTe4: relaxed, GGA-PBE.

For the total magnetic moment, the calculation gives 0.00 μB/f.u.

The structure belongs to space group P2/m (No. 10); the cell edges are 8.048, 4.256 and 8.627 Å and the angles 90.00°, 111.45° and 90.00°. The inequivalent atoms are K at (0.000, 0.000, 0.000), K at (0.500, 0.500, 0.000), Zr at (0.000, 0.500, 0.500), Ag at (0.500, 0.000, 0.500), Te at (0.203, 0.000, 0.719) and Te at (0.267, 0.500, 0.335).

=====

17.
KZrAg2Te4: relaxed, GGA-PBE.

For the total magnetic moment, the calculation gives 0.00 μB/f.u.

The structure belongs to space group I222 (No. 23); the cell edges are 7.176, 8.220 and 9.144 Å and the angles 90.00°, 90.00° and 90.00°. The inequivalent atoms are K at (0.000, 0.000, 0.000), Zr at (0.000, 0.000, 0.500), Ag at (0.000, 0.500, 0.161) and Te at (0.204, 0.212, 0.326).

=====

18.
K3Zr3AgTe8: relaxed, GGA-PBE.

For the total magnetic moment, the calculation gives 0.00 μB/f.u.

The structure belongs to space group R-3m (No. 166, hexagonal axes); the cell edges are 8.4578, 8.4578 and 25.0292 Å and the angles 90.00°, 90.00° and 120.00°. The inequivalent atoms are K at (0.0000, 0.5000, 0.0000), Zr at (0.0000, 0.5000, 0.5000), Ag at (0.0000, 0.0000, 0.5000), Te at (0.0000, 0.0000, 0.2345) and Te at (0.0114, 0.5057, 0.7672).

=====

19.
KThAg2: relaxed, GGA-PBE.

The calculation puts the formation energy at 67 meV per atom. For the total magnetic moment, the calculation gives 0.00 μB/f.u.

The structure belongs to space group P4/mmm (No. 123); the cell edges are 3.778, 3.778 and 8.452 Å and the angles 90.00°, 90.00° and 90.00°. The inequivalent atoms are K at (0.000, 0.000, 0.000), Th at (0.000, 0.000, 0.500) and Ag at (0.500, 0.500, 0.299).

=====

20.
KTiAg3: relaxed, GGA-PBE.

The calculation puts the formation energy at 1530 meV per atom. For the total magnetic moment, the calculation gives 0.08 μB/f.u. For the energy above the lowest structure with this stoichiometry, the calculation gives 908.2 meV/atom.

The structure belongs to space group Pm-3m (No. 221); the cell edges are 5.253, 5.253 and 5.253 Å and the angles 90.00°, 90.00° and 90.00°. The inequivalent atoms are K at (0.000, 0.000, 0.000), Ti at (0.500, 0.500, 0.500) and Ag at (0.000, 0.000, 0.500).

=====

21.
KTiAg2: relaxed, GGA-PBE.

The calculation puts the formation energy at 694 meV per atom. For the total magnetic moment, the calculation gives 2.33 μB/f.u. For the energy above the lowest structure with this stoichiometry, the calculation gives 36.7 meV/atom.

The structure belongs to space group I-42d (No. 122); the cell edges are 8.044, 8.044 and 6.646 Å and the angles 90.00°, 90.00° and 90.00°. The inequivalent atoms are K at (0.000, 0.000, 0.000), Ti at (0.000, 0.000, 0.500) and Ag at (0.202, 0.250, 0.625).

=====

no.,final energy (eV per atom)
1,-5.310
2,-4.230
3,-4.174
4,-5.063
5,-5.007
6,-4.875
7,-4.108
8,-4.897
9,-4.514
10,-3.745
11,-4.134
12,-5.506
13,-3.845
14,-4.159
15,-4.219
16,-3.986
17,-3.924
18,-4.614
19,-3.488
20,-1.980
21,-2.980